Compound: Er3As5S12
Source: the Alexandria database
Functional: GGA-PBE
Structure: optimized geometry

a = 13.397 Å, b = 13.397 Å, c = 13.397 Å
α = 109.47°, β = 109.47°, γ = 109.47°
Positions (direct):
Er (0.125, 0.250, 0.375)
Er (0.125, 0.375, 0.750)
Er (0.250, 0.375, 0.125)
Er (0.250, 0.875, 0.625)
Er (0.375, 0.125, 0.250)
Er (0.375, 0.750, 0.125)
Er (0.625, 0.250, 0.875)
Er (0.625, 0.875, 0.750)
Er (0.750, 0.125, 0.375)
Er (0.750, 0.625, 0.875)
Er (0.875, 0.625, 0.250)
Er (0.875, 0.750, 0.625)
As (0.000, 0.000, 0.000)
As (0.000, 0.000, 0.500)
As (0.000, 0.500, 0.000)
As (0.000, 0.500, 0.500)
As (0.125, 0.750, 0.875)
As (0.125, 0.875, 0.250)
As (0.250, 0.125, 0.875)
As (0.250, 0.625, 0.375)
As (0.375, 0.250, 0.625)
As (0.375, 0.625, 0.750)
As (0.500, 0.000, 0.000)
As (0.500, 0.000, 0.500)
As (0.500, 0.500, 0.000)
As (0.500, 0.500, 0.500)
As (0.625, 0.375, 0.250)
As (0.625, 0.750, 0.375)
As (0.750, 0.375, 0.625)
As (0.750, 0.875, 0.125)
As (0.875, 0.125, 0.750)
As (0.875, 0.250, 0.125)
S (0.044, 0.216, 0.133)
S (0.044, 0.329, 0.912)
S (0.083, 0.716, 0.671)
S (0.083, 0.867, 0.412)
S (0.088, 0.633, 0.417)
S (0.088, 0.956, 0.671)
S (0.133, 0.044, 0.216)
S (0.133, 0.588, 0.917)
S (0.171, 0.216, 0.583)
S (0.171, 0.456, 0.588)
S (0.216, 0.133, 0.044)
S (0.216, 0.583, 0.171)
S (0.284, 0.329, 0.917)
S (0.284, 0.456, 0.367)
S (0.329, 0.912, 0.044)
S (0.329, 0.917, 0.284)
S (0.367, 0.284, 0.456)
S (0.367, 0.583, 0.912)
S (0.412, 0.083, 0.867)
S (0.412, 0.829, 0.544)
S (0.417, 0.088, 0.633)
S (0.417, 0.829, 0.784)
S (0.456, 0.367, 0.284)
S (0.456, 0.588, 0.171)
S (0.544, 0.412, 0.829)
S (0.544, 0.633, 0.716)
S (0.583, 0.171, 0.216)
S (0.583, 0.912, 0.367)
S (0.588, 0.171, 0.456)
S (0.588, 0.917, 0.133)
S (0.633, 0.417, 0.088)
S (0.633, 0.716, 0.544)
S (0.671, 0.083, 0.716)
S (0.671, 0.088, 0.956)
S (0.716, 0.544, 0.633)
S (0.716, 0.671, 0.083)
S (0.784, 0.417, 0.829)
S (0.784, 0.867, 0.956)
S (0.829, 0.544, 0.412)
S (0.829, 0.784, 0.417)
S (0.867, 0.412, 0.083)
S (0.867, 0.956, 0.784)
S (0.912, 0.044, 0.329)
S (0.912, 0.367, 0.583)
S (0.917, 0.133, 0.588)
S (0.917, 0.284, 0.329)
S (0.956, 0.671, 0.088)
S (0.956, 0.784, 0.867)

Values from the calculation:
Density of states at the Fermi level = 0.02 states/eV per atom
Symmetry = Ia-3d
Calculated density = 4.5 Mg/m³
Raw formation energy = -0.67 eV per atom

=====

Compound: ScReW2
Source: the Alexandria database
Functional: GGA-PBE
Structure: optimized geometry

a = 3.164 Å, b = 4.502 Å, c = 4.613 Å
α = 90.00°, β = 90.00°, γ = 90.00°
Positions (direct):
Sc (0.000, 0.000, 0.000)
Re (0.500, 0.500, 0.000)
W (0.000, 0.500, 0.500)
W (0.500, 0.000, 0.500)

Values from the calculation:
Density of states at the Fermi level = 0.87 states/eV per atom
Symmetry = Pmmm
Calculated density = 15.1 Mg/m³
Energy relative to the elements = 9 kJ per mole of atoms

=====

Compound: InPd4Pt
Source: the Alexandria database
Functional: GGA-PBE
Structure: optimized geometry

a = 10.279 Å, b = 10.279 Å, c = 4.635 Å
α = 90.00°, β = 90.00°, γ = 154.02°
Positions (direct):
In (0.173, 0.827, 0.500)
In (0.827, 0.173, 0.000)
Pd (0.098, 0.902, 0.000)
Pd (0.251, 0.749, 0.001)
Pd (0.329, 0.671, 0.501)
Pd (0.469, 0.531, 0.502)
Pd (0.531, 0.469, 0.002)
Pd (0.671, 0.329, 0.001)
Pd (0.749, 0.251, 0.501)
Pd (0.902, 0.098, 0.500)
Pt (0.400, 0.600, 0.002)
Pt (0.600, 0.400, 0.502)

Values from the calculation:
Density of states at the Fermi level = 0.63 states/eV per atom
Symmetry = Cmc2_1
Calculated density = 11.4 Mg/m³
Energy relative to the elements = -12 kJ per mole of atoms

=====

Compound: AgMo2Pb
Source: the Alexandria database
Functional: GGA-PBE
Structure: optimized geometry

a = 3.163 Å, b = 3.163 Å, c = 28.520 Å
α = 90.00°, β = 90.00°, γ = 120.00°
Positions (direct):
Ag (0.000, 0.000, 0.000)
Ag (0.333, 0.667, 0.667)
Ag (0.667, 0.333, 0.333)
Mo (0.000, 0.000, 0.251)
Mo (0.000, 0.000, 0.525)
Mo (0.333, 0.667, 0.191)
Mo (0.333, 0.667, 0.918)
Mo (0.667, 0.333, 0.584)
Mo (0.667, 0.333, 0.858)
Pb (0.000, 0.000, 0.762)
Pb (0.333, 0.667, 0.429)
Pb (0.667, 0.333, 0.096)

Values from the calculation:
Density of states at the Fermi level = 0.45 states/eV per atom
Symmetry = R3m
Calculated density = 10.2 Mg/m³
Energy relative to the elements = 43 kJ per mole of atoms

=====

Compound: Sm2ZrPd
Source: the Alexandria database
Functional: GGA-PBE
Structure: optimized geometry

a = 3.320 Å, b = 3.320 Å, c = 32.596 Å
α = 90.00°, β = 90.00°, γ = 120.00°
Positions (direct):
Sm (0.000, 0.000, 0.097)
Sm (0.000, 0.000, 0.903)
Sm (0.333, 0.667, 0.570)
Sm (0.333, 0.667, 0.763)
Sm (0.667, 0.333, 0.237)
Sm (0.667, 0.333, 0.430)
Zr (0.000, 0.000, 0.000)
Zr (0.333, 0.667, 0.667)
Zr (0.667, 0.333, 0.333)
Pd (0.000, 0.000, 0.500)
Pd (0.333, 0.667, 0.167)
Pd (0.667, 0.333, 0.833)

Values from the calculation:
Density of states at the Fermi level = 0.91 states/eV per atom
Symmetry = R-3m
Calculated density = 8.0 Mg/m³
Energy relative to the elements = 11 kJ per mole of atoms

=====

Compound: La4Nd2N
Source: the Alexandria database
Functional: GGA-PBE
Structure: optimized geometry

a = 5.122 Å, b = 5.122 Å, c = 17.805 Å
α = 90.00°, β = 90.00°, γ = 90.00°
Positions (direct):
La (0.000, 0.000, 0.137)
La (0.000, 0.000, 0.863)
La (0.000, 0.500, 0.000)
La (0.000, 0.500, 0.500)
La (0.500, 0.000, 0.000)
La (0.500, 0.000, 0.500)
La (0.500, 0.500, 0.363)
La (0.500, 0.500, 0.637)
Nd (0.000, 0.000, 0.333)
Nd (0.000, 0.000, 0.667)
Nd (0.500, 0.500, 0.167)
Nd (0.500, 0.500, 0.833)
N (0.000, 0.000, 0.000)
N (0.500, 0.500, 0.500)

Values from the calculation:
Density of states at the Fermi level = 1.41 states/eV per atom
Symmetry = I4/mmm
Calculated density = 6.1 Mg/m³
Raw formation energy = -0.24 eV per atom

=====

Compound: PuInCu
Source: the Alexandria database
Functional: GGA-PBE
Structure: optimized geometry

a = 6.635 Å, b = 6.635 Å, c = 6.635 Å
α = 90.00°, β = 90.00°, γ = 90.00°
Positions (direct):
Pu (0.000, 0.000, 0.000)
Pu (0.000, 0.500, 0.500)
Pu (0.500, 0.000, 0.500)
Pu (0.500, 0.500, 0.000)
In (0.000, 0.000, 0.500)
In (0.000, 0.500, 0.000)
In (0.500, 0.000, 0.000)
In (0.500, 0.500, 0.500)
Cu (0.250, 0.250, 0.750)
Cu (0.250, 0.750, 0.250)
Cu (0.750, 0.250, 0.250)
Cu (0.750, 0.750, 0.750)

Values from the calculation:
Density of states at the Fermi level = 5.66 states/eV per atom
Symmetry = F-43m
Calculated density = 9.6 Mg/m³
Energy relative to the elements = 8 kJ per mole of atoms

=====

Compound: NaGeRh
Source: the Alexandria database
Functional: GGA-PBE
Structure: optimized geometry

a = 4.162 Å, b = 4.162 Å, c = 6.868 Å
α = 90.00°, β = 90.00°, γ = 90.00°
Positions (direct):
Na (0.250, 0.250, 0.157)
Na (0.750, 0.750, 0.843)
Ge (0.250, 0.250, 0.694)
Ge (0.750, 0.750, 0.306)
Rh (0.250, 0.750, 0.500)
Rh (0.750, 0.250, 0.500)

Values from the calculation:
Density of states at the Fermi level = 0.07 states/eV per atom
Symmetry = P4/nmm
Calculated density = 5.5 Mg/m³
Energy relative to the elements = -46 kJ per mole of atoms

=====

Compound: ZrMoSe2
Source: the Alexandria database
Functional: GGA-PBE
Structure: optimized geometry

a = 3.224 Å, b = 4.529 Å, c = 10.297 Å
α = 90.00°, β = 90.00°, γ = 90.00°
Positions (direct):
Zr (0.000, 0.000, 0.000)
Zr (0.500, 0.500, 0.500)
Mo (0.000, 0.500, 0.788)
Mo (0.500, 0.000, 0.288)
Se (0.000, 0.000, 0.483)
Se (0.000, 0.500, 0.274)
Se (0.500, 0.000, 0.774)
Se (0.500, 0.500, 0.983)

Values from the calculation:
Density of states at the Fermi level = 0.65 states/eV per atom
Symmetry = Imm2
Calculated density = 7.6 Mg/m³
Raw formation energy = -0.41 eV per atom

=====

Compound: PmPr3Tc
Source: the Alexandria database
Functional: GGA-PBE
Structure: optimized geometry

a = 10.678 Å, b = 10.678 Å, c = 6.550 Å
α = 95.14°, β = 95.14°, γ = 59.48°
Positions (direct):
Pm (0.095, 0.905, 0.750)
Pm (0.378, 0.622, 0.250)
Pm (0.622, 0.378, 0.750)
Pm (0.905, 0.095, 0.250)
Pr (0.011, 0.270, 0.650)
Pr (0.033, 0.607, 0.845)
Pr (0.270, 0.011, 0.150)
Pr (0.288, 0.363, 0.459)
Pr (0.363, 0.288, 0.959)
Pr (0.393, 0.967, 0.655)
Pr (0.607, 0.033, 0.345)
Pr (0.637, 0.712, 0.041)
Pr (0.712, 0.637, 0.541)
Pr (0.730, 0.989, 0.850)
Pr (0.967, 0.393, 0.155)
Pr (0.989, 0.730, 0.350)
Tc (0.284, 0.588, 0.702)
Tc (0.412, 0.716, 0.798)
Tc (0.588, 0.284, 0.202)
Tc (0.716, 0.412, 0.298)

Values from the calculation:
Density of states at the Fermi level = 1.36 states/eV per atom
Symmetry = C2/c
Calculated density = 6.9 Mg/m³
Energy relative to the elements = 15 kJ per mole of atoms

=====

Compound: BePb2S2
Source: the Alexandria database
Functional: GGA-PBE
Structure: optimized geometry

a = 6.487 Å, b = 6.487 Å, c = 5.211 Å
α = 90.00°, β = 90.00°, γ = 90.00°
Positions (direct):
Be (0.000, 0.000, 0.000)
Be (0.500, 0.500, 0.000)
Pb (0.179, 0.321, 0.500)
Pb (0.321, 0.821, 0.500)
Pb (0.679, 0.179, 0.500)
Pb (0.821, 0.679, 0.500)
S (0.193, 0.693, 0.000)
S (0.307, 0.193, 0.000)
S (0.693, 0.807, 0.000)
S (0.807, 0.307, 0.000)

Values from the calculation:
Density of states at the Fermi level = 0.26 states/eV per atom
Symmetry = P4/mbm
Calculated density = 7.4 Mg/m³
Raw formation energy = -0.04 eV per atom

=====

Compound: SrRuSe2
Source: the Alexandria database
Functional: GGA-PBE
Structure: optimized geometry

a = 4.074 Å, b = 4.074 Å, c = 18.185 Å
α = 90.00°, β = 90.00°, γ = 120.00°
Positions (direct):
Sr (0.000, 0.000, 0.000)
Sr (0.333, 0.667, 0.667)
Sr (0.667, 0.333, 0.333)
Ru (0.000, 0.000, 0.500)
Ru (0.333, 0.667, 0.167)
Ru (0.667, 0.333, 0.833)
Se (0.000, 0.000, 0.227)
Se (0.000, 0.000, 0.773)
Se (0.333, 0.667, 0.440)
Se (0.333, 0.667, 0.894)
Se (0.667, 0.333, 0.106)
Se (0.667, 0.333, 0.560)

Values from the calculation:
Symmetry = R-3m
Calculated density = 6.6 Mg/m³
Raw formation energy = -0.89 eV per atom

=====

Compound: CuSnSb2I
Source: the Alexandria database
Functional: GGA-PBE
Structure: optimized geometry

a = 5.737 Å, b = 5.737 Å, c = 5.918 Å
α = 90.00°, β = 90.00°, γ = 90.00°
Positions (direct):
Cu (0.000, 0.000, 0.000)
Sn (0.500, 0.500, 0.500)
Sb (0.000, 0.500, 0.500)
Sb (0.500, 0.000, 0.500)
I (0.500, 0.500, 0.000)

Values from the calculation:
Density of states at the Fermi level = 1.11 states/eV per atom
Symmetry = P4/mmm
Calculated density = 4.7 Mg/m³
Raw formation energy = 0.98 eV per atom

=====

Compound: NpZn4Os
Source: the Alexandria database
Functional: GGA-PBE
Structure: optimized geometry

a = 5.133 Å, b = 5.133 Å, c = 5.133 Å
α = 60.00°, β = 60.00°, γ = 60.00°
Positions (direct):
Np (0.000, 0.000, 0.000)
Zn (0.376, 0.376, 0.376)
Zn (0.376, 0.376, 0.872)
Zn (0.376, 0.872, 0.376)
Zn (0.872, 0.376, 0.376)
Os (0.750, 0.750, 0.750)

Values from the calculation:
Density of states at the Fermi level = 0.51 states/eV per atom
Symmetry = F-43m
Calculated density = 12.0 Mg/m³
Energy relative to the elements = 9 kJ per mole of atoms